1.
The following is a DFT calculation (PBE) of PaGa3Ir2 after structural relaxation.

total energy	-119.327	eV for the cell shown
size of the total moment	0.00	μB/f.u.
SG	C2/m, No. 12
energy relative to the elements	-0.58	eV per atom

```
PaGa3Ir2
1.0
8.558 -2.025 0.000
8.558 2.025 0.000
-2.449 0.000 9.215
Pa Ga Ir
3 9 6
Direct
0.000 0.000 0.000 Pa
0.155 0.155 0.696 Pa
0.845 0.845 0.304 Pa
0.045 0.045 0.363 Ga
0.217 0.217 0.377 Ga
0.352 0.352 0.804 Ga
0.354 0.354 0.066 Ga
0.500 0.500 0.500 Ga
0.646 0.646 0.934 Ga
0.648 0.648 0.196 Ga
0.783 0.783 0.623 Ga
0.955 0.955 0.637 Ga
0.215 0.215 0.095 Ir
0.360 0.360 0.536 Ir
0.498 0.498 0.208 Ir
0.502 0.502 0.792 Ir
0.640 0.640 0.464 Ir
0.785 0.785 0.905 Ir
```

=====

2.
The following is a DFT calculation (PBE) of Pa5Ti12Si3 after structural relaxation.

uncorrected formation energy	0.850	eV/atom
total energy	-565.962	eV for the cell shown
size of the total moment	5.27	μB/f.u.
SG	Ia-3d, No. 230

```
Pa5Ti12Si3
1.0
-7.554 7.554 7.554
7.554 -7.554 7.554
7.554 7.554 -7.554
Pa Ti Si
20 48 12
Direct
0.000 0.000 0.000 Pa
0.000 0.000 0.500 Pa
0.000 0.500 0.000 Pa
0.000 0.500 0.500 Pa
0.125 0.750 0.875 Pa
0.125 0.875 0.250 Pa
0.250 0.125 0.875 Pa
0.250 0.625 0.375 Pa
0.375 0.250 0.625 Pa
0.375 0.625 0.750 Pa
0.500 0.000 0.000 Pa
0.500 0.000 0.500 Pa
0.500 0.500 0.000 Pa
0.500 0.500 0.500 Pa
0.625 0.375 0.250 Pa
0.625 0.750 0.375 Pa
0.750 0.375 0.625 Pa
0.750 0.875 0.125 Pa
0.875 0.125 0.750 Pa
0.875 0.250 0.125 Pa
0.076 0.238 0.158 Ti
0.076 0.338 0.919 Ti
0.081 0.658 0.419 Ti
0.081 0.738 0.662 Ti
0.081 0.842 0.419 Ti
0.081 0.924 0.662 Ti
0.158 0.076 0.238 Ti
0.158 0.581 0.919 Ti
0.162 0.238 0.581 Ti
0.162 0.424 0.581 Ti
0.238 0.158 0.076 Ti
0.238 0.581 0.162 Ti
0.262 0.338 0.919 Ti
0.262 0.424 0.342 Ti
0.338 0.919 0.076 Ti
0.338 0.919 0.262 Ti
0.342 0.262 0.424 Ti
0.342 0.581 0.919 Ti
0.419 0.081 0.658 Ti
0.419 0.081 0.842 Ti
0.419 0.838 0.576 Ti
0.419 0.838 0.762 Ti
0.424 0.342 0.262 Ti
0.424 0.581 0.162 Ti
0.576 0.419 0.838 Ti
0.576 0.658 0.738 Ti
0.581 0.162 0.238 Ti
0.581 0.162 0.424 Ti
0.581 0.919 0.158 Ti
0.581 0.919 0.342 Ti
0.658 0.419 0.081 Ti
0.658 0.738 0.576 Ti
0.662 0.081 0.738 Ti
0.662 0.081 0.924 Ti
0.738 0.576 0.658 Ti
0.738 0.662 0.081 Ti
0.762 0.419 0.838 Ti
0.762 0.842 0.924 Ti
0.838 0.576 0.419 Ti
0.838 0.762 0.419 Ti
0.842 0.419 0.081 Ti
0.842 0.924 0.762 Ti
0.919 0.076 0.338 Ti
0.919 0.158 0.581 Ti
0.919 0.262 0.338 Ti
0.919 0.342 0.581 Ti
0.924 0.662 0.081 Ti
0.924 0.762 0.842 Ti
0.125 0.250 0.375 Si
0.125 0.375 0.750 Si
0.250 0.375 0.125 Si
0.250 0.875 0.625 Si
0.375 0.125 0.250 Si
0.375 0.750 0.125 Si
0.625 0.250 0.875 Si
0.625 0.875 0.750 Si
0.750 0.125 0.375 Si
0.750 0.625 0.875 Si
0.875 0.625 0.250 Si
0.875 0.750 0.625 Si
```

=====

3.
The following is a DFT calculation (PBE) of MgTcIr after structural relaxation.

total energy	-41.814	eV for the cell shown
size of the total moment	0.00	μB/f.u.
SG	P1, No. 1
energy relative to the elements	-0.03	eV per atom

```
MgTcIr
1.0
2.839 0.000 0.000
1.396 4.975 0.000
1.404 0.916 6.700
Mg Tc Ir
2 2 2
Direct
0.000 0.000 0.000 Mg
0.435 0.411 0.707 Mg
0.209 0.239 0.336 Tc
0.434 0.772 0.358 Tc
0.710 0.531 0.041 Ir
0.725 0.888 0.662 Ir
```

=====

4.
The following is a DFT calculation (PBE) of BaIrPb after structural relaxation.

total energy	-14.804	eV for the cell shown
size of the total moment	0.00	μB/f.u.
SG	P3m1, No. 156
energy relative to the elements	-0.10	eV per atom

```
BaIrPb
1.0
4.707 0.000 0.000
-2.354 4.077 0.000
0.000 0.000 4.843
Ba Ir Pb
1 1 1
Direct
0.000 0.000 0.000 Ba
0.667 0.333 0.511 Ir
0.333 0.667 0.501 Pb
```

=====

5.
The following is a DFT calculation (PBE) of Mn2TcAuBr after structural relaxation.

uncorrected formation energy	1.896	eV/atom
total energy	-24.175	eV for the cell shown
size of the total moment	0.00	μB/f.u.
SG	P4/mmm, No. 123

```
Mn2TcAuBr
1.0
4.243 0.000 0.000
0.000 4.243 0.000
0.000 0.000 4.883
Mn Tc Au Br
2 1 1 1
Direct
0.000 0.500 0.000 Mn
0.500 0.000 0.000 Mn
0.000 0.000 0.500 Tc
0.500 0.500 0.500 Au
0.500 0.500 0.000 Br
```

=====

6.
The following is a DFT calculation (PBE) of GdLuCdAg after structural relaxation.

total energy	-23.566	eV for the cell shown
size of the total moment	7.23	μB/f.u.
SG	F-43m, No. 216
energy relative to the elements	-0.30	eV per atom

```
GdLuCdAg
1.0
0.000 3.678 3.678
3.678 0.000 3.678
3.678 3.678 0.000
Gd Lu Cd Ag
1 1 1 1
Direct
0.000 0.000 0.000 Gd
0.500 0.500 0.500 Lu
0.750 0.750 0.750 Cd
0.250 0.250 0.250 Ag
```

=====

7.
The following is a DFT calculation (PBE) of Sc5AgSn2Rh2 after structural relaxation.

total energy	-126.220	eV for the cell shown
size of the total moment	0.00	μB/f.u.
SG	P4/mbm, No. 127
energy relative to the elements	-0.59	eV per atom

```
Sc5AgSn2Rh2
1.0
11.146 0.000 0.000
0.000 11.146 0.000
0.000 0.000 3.385
Sc Ag Sn Rh
10 2 4 4
Direct
0.000 0.500 0.000 Sc
0.071 0.202 0.000 Sc
0.202 0.929 0.000 Sc
0.298 0.429 0.000 Sc
0.429 0.702 0.000 Sc
0.500 0.000 0.000 Sc
0.571 0.298 0.000 Sc
0.702 0.571 0.000 Sc
0.798 0.071 0.000 Sc
0.929 0.798 0.000 Sc
0.000 0.000 0.500 Ag
0.500 0.500 0.500 Ag
0.173 0.673 0.500 Sn
0.327 0.173 0.500 Sn
0.673 0.827 0.500 Sn
0.827 0.327 0.500 Sn
0.132 0.368 0.500 Rh
0.368 0.868 0.500 Rh
0.632 0.132 0.500 Rh
0.868 0.632 0.500 Rh
```

=====

8.
The following is a DFT calculation (PBE) of Y2Be3GePt4 after structural relaxation.

total energy	-62.096	eV for the cell shown
size of the total moment	0.00	μB/f.u.
SG	P-4m2, No. 115
energy relative to the elements	-0.92	eV per atom

```
Y2Be3GePt4
1.0
4.097 0.000 0.000
0.000 4.097 0.000
0.000 0.000 9.638
Y Be Ge Pt
2 3 1 4
Direct
0.000 0.500 0.246 Y
0.500 0.000 0.754 Y
0.000 0.500 0.881 Be
0.500 0.000 0.119 Be
0.500 0.500 0.500 Be
0.000 0.000 0.500 Ge
0.000 0.000 0.000 Pt
0.000 0.500 0.643 Pt
0.500 0.000 0.357 Pt
0.500 0.500 0.000 Pt
```

=====

9.
The following is a DFT calculation (PBE) of KTcCl2 after structural relaxation.

uncorrected formation energy	-0.379	eV/atom
total energy	-16.673	eV for the cell shown
size of the total moment	1.22	μB/f.u.
SG	Pmmm, No. 47

```
KTcCl2
1.0
3.351 0.000 0.000
0.000 3.858 0.000
0.000 0.000 6.762
K Tc Cl
1 1 2
Direct
0.000 0.000 0.000 K
0.500 0.000 0.500 Tc
0.500 0.500 0.276 Cl
0.500 0.500 0.724 Cl
```

=====

10.
The following is a DFT calculation (PBE) of Th3P4Pd7 after structural relaxation.

total energy	-94.261	eV for the cell shown
size of the total moment	0.00	μB/f.u.
SG	C2/m, No. 12
energy relative to the elements	-1.00	eV per atom

```
Th3P4Pd7
1.0
7.860 -2.064 0.000
7.860 2.064 0.000
-5.595 0.000 7.735
Th P Pd
3 4 7
Direct
0.000 0.000 0.000 Th
0.318 0.318 0.320 Th
0.682 0.682 0.680 Th
0.107 0.107 0.824 P
0.343 0.343 0.748 P
0.657 0.657 0.252 P
0.893 0.893 0.176 P
0.000 0.000 0.500 Pd
0.167 0.167 0.429 Pd
0.311 0.311 0.977 Pd
0.489 0.489 0.709 Pd
0.511 0.511 0.291 Pd
0.689 0.689 0.023 Pd
0.833 0.833 0.571 Pd
```

=====

11.
The following is a DFT calculation (PBE) of Sm8Dy6Tl after structural relaxation.

total energy	-66.385	eV for the cell shown
size of the total moment	0.00	μB/f.u.
SG	P-3, No. 147
energy relative to the elements	0.09	eV per atom

```
Sm8Dy6Tl
1.0
9.386 0.000 0.000
-4.693 8.129 0.000
0.000 0.000 6.456
Sm Dy Tl
8 6 1
Direct
0.041 0.771 0.182 Sm
0.229 0.271 0.182 Sm
0.271 0.041 0.818 Sm
0.333 0.667 0.162 Sm
0.667 0.333 0.838 Sm
0.729 0.959 0.182 Sm
0.771 0.729 0.818 Sm
0.959 0.229 0.818 Sm
0.097 0.645 0.673 Dy
0.355 0.452 0.673 Dy
0.452 0.097 0.327 Dy
0.548 0.903 0.673 Dy
0.645 0.548 0.327 Dy
0.903 0.355 0.327 Dy
0.000 0.000 0.500 Tl
```

=====

12.
The following is a DFT calculation (PBE) of Ca5Te4N after structural relaxation.

uncorrected formation energy	-1.281	eV/atom
total energy	-43.711	eV for the cell shown
size of the total moment	0.00	μB/f.u.
SG	I4, No. 79

```
Ca5Te4N
1.0
-4.801 4.801 3.159
4.801 -4.801 3.159
4.801 4.801 -3.159
Ca Te N
5 4 1
Direct
0.000 0.000 0.000 Ca
0.337 0.666 0.843 Ca
0.494 0.337 0.671 Ca
0.666 0.823 0.329 Ca
0.823 0.494 0.157 Ca
0.169 0.390 0.393 Te
0.390 0.996 0.220 Te
0.776 0.169 0.780 Te
0.996 0.776 0.607 Te
0.628 0.628 0.000 N
```

=====

- What is the total energy in the eighth record?
  -62.096 eV for the cell shown